Entry 1:
DFT (SCAN) results for TaBe2Tl at its PBEsol-relaxed geometry.

Cell: 2.953 2.953 6.614 Å, 90.00 90.00 90.57°
Fractional positions:
Ta 0.000 0.000 0.000
Be 0.000 0.000 0.619
Be 0.500 0.500 0.760
Tl 0.500 0.500 0.341

Results
Its total magnetization is 0.0 μB per formula unit. For the theoretical density, the calculation gives 11.62 g/cm3. The value obtained for the energy of formation from the pure elements is 1.57 eV/f.u. The space group is Cmm2 (35). The distance to the lowest polymorph of the same formula is 0 meV/atom.

Entry 2:
DFT (SCAN) results for HfZr2CuPd at its PBEsol-relaxed geometry.

Cell: 4.766 4.766 4.562 Å, 90.00 90.00 90.00°
Fractional positions:
Hf 0.000 0.000 0.000
Zr 0.000 0.500 0.500
Zr 0.500 0.000 0.500
Cu 0.500 0.500 0.500
Pd 0.500 0.500 0.000

Results
Its total magnetization is 0.0 μB per formula unit. For the theoretical density, the calculation gives 8.51 g/cm3. The value obtained for the energy of formation from the pure elements is 2.35 eV/f.u. The space group is P4/mmm (123).